# 1
Entry from the Alexandria database: ReTcP after structural relaxation (GGA-PBEsol).

Cell and atoms, written as POSCAR:
```
ReTcP
1.0
-2.668 -0.038 -0.799
0.543 -0.777 2.619
0.441 6.065 0.897
P Re Tc
1 1 1
direct
0.999 0.999 0.998 P
0.655 0.655 0.309 Re
0.347 0.347 0.693 Tc
```

Computed properties:
- E_form: 0.254 eV per atom


# 2
Entry from the Alexandria database: SbCSCl2F9 after structural relaxation (GGA-PBEsol).

Cell and atoms, written as POSCAR:
```
SbCSCl2F9
1.0
7.820 0.000 0.007
0.000 9.594 0.000
-2.228 0.000 12.256
Sb C S Cl F
4 4 4 8 36
direct
0.802 0.251 0.934 Sb
0.802 0.249 0.434 Sb
0.198 0.749 0.066 Sb
0.198 0.751 0.566 Sb
0.378 0.169 0.627 C
0.378 0.331 0.127 C
0.622 0.669 0.873 C
0.622 0.831 0.373 C
0.834 0.826 0.303 S
0.166 0.174 0.697 S
0.834 0.674 0.803 S
0.166 0.326 0.197 S
0.253 0.071 0.832 Cl
0.176 0.129 0.242 Cl
0.747 0.929 0.168 Cl
0.824 0.871 0.758 Cl
0.747 0.571 0.668 Cl
0.824 0.629 0.258 Cl
0.253 0.429 0.332 Cl
0.176 0.371 0.742 Cl
0.035 0.286 0.508 F
0.140 0.669 0.694 F
0.563 0.703 0.378 F
0.140 0.831 0.194 F
0.274 0.574 0.522 F
0.756 0.166 0.564 F
0.035 0.214 0.008 F
0.244 0.666 0.936 F
0.507 0.913 0.314 F
0.427 0.708 0.140 F
0.244 0.834 0.436 F
0.563 0.797 0.878 F
0.493 0.087 0.686 F
0.756 0.334 0.064 F
0.326 0.382 0.028 F
0.726 0.074 0.978 F
0.860 0.169 0.806 F
0.507 0.587 0.814 F
0.427 0.792 0.640 F
0.965 0.714 0.492 F
0.437 0.297 0.622 F
0.121 0.928 0.612 F
0.674 0.618 0.972 F
0.326 0.118 0.528 F
0.274 0.926 0.022 F
0.879 0.428 0.888 F
0.121 0.572 0.112 F
0.674 0.882 0.472 F
0.493 0.413 0.186 F
0.860 0.331 0.306 F
0.879 0.072 0.388 F
0.573 0.292 0.860 F
0.965 0.786 0.992 F
0.573 0.208 0.360 F
0.726 0.426 0.478 F
0.437 0.203 0.122 F
```

Computed properties:
- Energy relative to the elements, uncorrected: -1.661 eV/atom


# 3
Entry from the Alexandria database: AlOs3 after structural relaxation (GGA-PBEsol).

Cell and atoms, written as POSCAR:
```
AlOs3
1.0
4.294 0.000 0.000
2.147 3.718 0.000
2.147 1.239 3.506
Os Al
3 1
direct
0.250 0.250 0.250 Os
0.500 0.500 0.500 Os
0.750 0.750 0.750 Os
0.000 0.000 0.000 Al
```

Computed properties:
- E_form: 0.254 eV per atom


# 4
Entry from the Alexandria database: LaMnMo2 after structural relaxation (GGA-PBEsol).

Cell and atoms, written as POSCAR:
```
LaMnMo2
1.0
-0.308 2.866 0.185
-3.364 -0.407 0.703
1.616 -1.144 7.073
La Mn Mo
1 1 2
direct
0.500 0.500 0.000 La
0.500 0.500 0.500 Mn
0.937 0.000 0.665 Mo
0.063 0.000 0.335 Mo
```

Computed properties:
- E above lowest polymorph: 0.0 kJ/mol of atoms
- E_form: 0.498 eV per atom